1.
Compound: EuZrGa2
Source: the Alexandria database
Functional: PBE-GGA
Structure: relaxed

Results
DOS(E_F): 2.61 states/eV per cell
energy relative to the elements: -357 meV/atom
space-group type: P4/mmm (123)
calculated volume: 87 Å³ per cell

abc: 5.197 5.197 3.209
angles: 90.00 90.00 90.00
Element x y z (fractional)
Eu 0.000 0.000 0.000
Zr 0.500 0.500 0.000
Ga 0.000 0.500 0.500
Ga 0.500 0.000 0.500

2.
Compound: EuGd2
Source: the Alexandria database
Functional: PBE-GGA
Structure: relaxed

Results
DOS(E_F): 13.78 states/eV per cell
energy relative to the elements: 208 meV/atom
space-group type: Fd-3m (227)
calculated volume: 226 Å³ per cell

abc: 6.841 6.841 6.841
angles: 60.00 60.00 60.00
Element x y z (fractional)
Eu 0.125 0.125 0.125
Eu 0.875 0.875 0.875
Gd 0.000 0.500 0.500
Gd 0.500 0.000 0.500
Gd 0.500 0.500 0.000
Gd 0.500 0.500 0.500

3.
Compound: EuGdGe
Source: the Alexandria database
Functional: PBE-GGA
Structure: relaxed

Results
DOS(E_F): 3.17 states/eV per cell
energy relative to the elements: -414 meV/atom
space-group type: I4mm (107)
calculated volume: 88 Å³ per cell

abc: 7.235 7.235 7.235
angles: 151.13 151.13 41.29
Element x y z (fractional)
Eu 0.000 0.000 0.000
Gd 0.733 0.733 0.000
Ge 0.357 0.357 0.000

4.
Compound: LiEuGdGe
Source: the Alexandria database
Functional: PBE-GGA
Structure: relaxed

Results
DOS(E_F): 3.65 states/eV per cell
energy relative to the elements: -366 meV/atom
space-group type: F-43m (216)
calculated volume: 99 Å³ per cell

abc: 5.189 5.189 5.189
angles: 60.00 60.00 60.00
Element x y z (fractional)
Li 0.000 0.000 0.000
Eu 0.750 0.750 0.750
Gd 0.250 0.250 0.250
Ge 0.500 0.500 0.500

5.
Compound: EuGdMgGe
Source: the Alexandria database
Functional: PBE-GGA
Structure: relaxed

Results
DOS(E_F): 4.14 states/eV per cell
energy relative to the elements: -340 meV/atom
space-group type: F-43m (216)
calculated volume: 103 Å³ per cell

abc: 5.269 5.269 5.269
angles: 60.00 60.00 60.00
Element x y z (fractional)
Eu 0.000 0.000 0.000
Gd 0.500 0.500 0.500
Mg 0.750 0.750 0.750
Ge 0.250 0.250 0.250

6.
Compound: SrEuGdGeO6
Source: the Alexandria database
Functional: PBE-GGA
Structure: relaxed

Results
formation energy from raw total energies: -2.52 eV per atom
DOS(E_F): 12.07 states/eV per cell
space-group type: F-43m (216)
calculated volume: 138 Å³ per cell

abc: 5.806 5.806 5.806
angles: 60.00 60.00 60.00
Element x y z (fractional)
Sr 0.000 0.000 0.000
Eu 0.500 0.500 0.500
Gd 0.750 0.750 0.750
Ge 0.250 0.250 0.250
O 0.019 0.019 0.481
O 0.019 0.481 0.019
O 0.019 0.481 0.481
O 0.481 0.019 0.019
O 0.481 0.019 0.481
O 0.481 0.481 0.019

7.
Compound: EuGdGePb
Source: the Alexandria database
Functional: PBE-GGA
Structure: relaxed

Results
DOS(E_F): 3.40 states/eV per cell
energy relative to the elements: -469 meV/atom
space-group type: F-43m (216)
calculated volume: 111 Å³ per cell

abc: 5.394 5.394 5.394
angles: 60.00 60.00 60.00
Element x y z (fractional)
Eu 0.000 0.000 0.000
Gd 0.500 0.500 0.500
Ge 0.750 0.750 0.750
Pb 0.250 0.250 0.250

8.
Compound: EuGdGePt
Source: the Alexandria database
Functional: PBE-GGA
Structure: relaxed

Results
DOS(E_F): 9.62 states/eV per cell
energy relative to the elements: -796 meV/atom
space-group type: F-43m (216)
calculated volume: 94 Å³ per cell

abc: 5.107 5.107 5.107
angles: 60.00 60.00 60.00
Element x y z (fractional)
Eu 0.000 0.000 0.000
Gd 0.500 0.500 0.500
Ge 0.750 0.750 0.750
Pt 0.250 0.250 0.250

9.
Compound: EuGdTlGe
Source: the Alexandria database
Functional: PBE-GGA
Structure: relaxed

Results
DOS(E_F): 2.10 states/eV per cell
energy relative to the elements: -459 meV/atom
space-group type: F-43m (216)
calculated volume: 108 Å³ per cell

abc: 5.345 5.345 5.345
angles: 60.00 60.00 60.00
Element x y z (fractional)
Eu 0.000 0.000 0.000
Gd 0.500 0.500 0.500
Tl 0.250 0.250 0.250
Ge 0.750 0.750 0.750

10.
Compound: EuGdH
Source: the Alexandria database
Functional: PBE-GGA
Structure: relaxed

Results
raw total energy: -9.428 eV/atom
DOS(E_F): 2.19 states/eV per cell
space-group type: P3m1 (156)
calculated volume: 70 Å³ per cell

abc: 3.651 3.651 6.075
angles: 90.00 90.00 120.00
Element x y z (fractional)
Eu 0.000 0.000 0.000
Gd 0.667 0.333 0.480
H 0.333 0.667 0.261

11.
Compound: Eu2GdHg
Source: the Alexandria database
Functional: PBE-GGA
Structure: relaxed

Results
DOS(E_F): 7.15 states/eV per cell
energy relative to the elements: 33 meV/atom
space-group type: R-3m (166)
E above lowest polymorph: 12.5 kJ per mole of atoms
calculated volume: 139 Å³ per cell

abc: 12.107 12.107 12.107
angles: 17.41 17.41 17.41
Element x y z (fractional)
Eu 0.096 0.096 0.096
Eu 0.904 0.904 0.904
Gd 0.000 0.000 0.000
Hg 0.500 0.500 0.500

12.
Compound: EuGdHg2
Source: the Alexandria database
Functional: PBE-GGA
Structure: relaxed

Results
DOS(E_F): 7.81 states/eV per cell
energy relative to the elements: -507 meV/atom
space-group type: Fm-3m (225)
calculated volume: 111 Å³ per cell

abc: 5.399 5.399 5.399
angles: 60.00 60.00 60.00
Element x y z (fractional)
Eu 0.000 0.000 0.000
Gd 0.500 0.500 0.500
Hg 0.250 0.250 0.250
Hg 0.750 0.750 0.750

13.
Compound: EuGdHg4
Source: the Alexandria database
Functional: PBE-GGA
Structure: relaxed

Results
DOS(E_F): 5.95 states/eV per cell
energy relative to the elements: -274 meV/atom
space-group type: F-43m (216)
calculated volume: 159 Å³ per cell

abc: 6.076 6.076 6.076
angles: 60.00 60.00 60.00
Element x y z (fractional)
Eu 0.000 0.000 0.000
Gd 0.250 0.250 0.250
Hg 0.126 0.625 0.625
Hg 0.625 0.126 0.625
Hg 0.625 0.625 0.126
Hg 0.625 0.625 0.625

14.
Compound: Eu2GdHg
Source: the Alexandria database
Functional: PBE-GGA
Structure: relaxed

Results
DOS(E_F): 4.46 states/eV per cell
energy relative to the elements: -96 meV/atom
space-group type: P4/mmm (123)
E above lowest polymorph: 0.0 kJ per mole of atoms
calculated volume: 127 Å³ per cell

abc: 5.439 5.439 4.305
angles: 90.00 90.00 90.00
Element x y z (fractional)
Eu 0.000 0.500 0.000
Eu 0.500 0.000 0.000
Gd 0.000 0.000 0.500
Hg 0.500 0.500 0.500

15.
Compound: EuGdHg
Source: the Alexandria database
Functional: PBE-GGA
Structure: relaxed

Results
DOS(E_F): 4.00 states/eV per cell
energy relative to the elements: -187 meV/atom
space-group type: P3m1 (156)
calculated volume: 93 Å³ per cell

abc: 5.260 5.260 3.881
angles: 90.00 90.00 120.00
Element x y z (fractional)
Eu 0.000 0.000 0.000
Gd 0.333 0.667 0.546
Hg 0.667 0.333 0.362

16.
Compound: EuGdInHg
Source: the Alexandria database
Functional: PBE-GGA
Structure: relaxed

Results
DOS(E_F): 10.65 states/eV per cell
energy relative to the elements: -483 meV/atom
space-group type: F-43m (216)
calculated volume: 114 Å³ per cell

abc: 5.444 5.444 5.444
angles: 60.00 60.00 60.00
Element x y z (fractional)
Eu 0.000 0.000 0.000
Gd 0.500 0.500 0.500
In 0.250 0.250 0.250
Hg 0.750 0.750 0.750

17.
Compound: LiEuGdHg
Source: the Alexandria database
Functional: PBE-GGA
Structure: relaxed

Results
DOS(E_F): 9.01 states/eV per cell
energy relative to the elements: -215 meV/atom
space-group type: F-43m (216)
calculated volume: 111 Å³ per cell

abc: 5.397 5.397 5.397
angles: 60.00 60.00 60.00
Element x y z (fractional)
Li 0.000 0.000 0.000
Eu 0.750 0.750 0.750
Gd 0.250 0.250 0.250
Hg 0.500 0.500 0.500

18.
Compound: EuGdMgHg
Source: the Alexandria database
Functional: PBE-GGA
Structure: relaxed

Results
DOS(E_F): 5.82 states/eV per cell
energy relative to the elements: -272 meV/atom
space-group type: F-43m (216)
calculated volume: 114 Å³ per cell

abc: 5.449 5.449 5.449
angles: 60.00 60.00 60.00
Element x y z (fractional)
Eu 0.000 0.000 0.000
Gd 0.500 0.500 0.500
Mg 0.750 0.750 0.750
Hg 0.250 0.250 0.250

19.
Compound: NdEuGdHg
Source: the Alexandria database
Functional: PBE-GGA
Structure: relaxed

Results
DOS(E_F): 4.46 states/eV per cell
energy relative to the elements: -73 meV/atom
space-group type: F-43m (216)
calculated volume: 121 Å³ per cell

abc: 5.544 5.544 5.544
angles: 60.00 60.00 60.00
Element x y z (fractional)
Nd 0.000 0.000 0.000
Eu 0.250 0.250 0.250
Gd 0.500 0.500 0.500
Hg 0.750 0.750 0.750

20.
Compound: EuGdNiHg
Source: the Alexandria database
Functional: PBE-GGA
Structure: relaxed

Results
DOS(E_F): 9.29 states/eV per cell
energy relative to the elements: -257 meV/atom
space-group type: F-43m (216)
calculated volume: 98 Å³ per cell

abc: 5.171 5.171 5.171
angles: 60.00 60.00 60.00
Element x y z (fractional)
Eu 0.000 0.000 0.000
Gd 0.500 0.500 0.500
Ni 0.250 0.250 0.250
Hg 0.750 0.750 0.750

21.
Compound: EuGdHgPd
Source: the Alexandria database
Functional: PBE-GGA
Structure: relaxed

Results
DOS(E_F): 9.89 states/eV per cell
energy relative to the elements: -574 meV/atom
space-group type: F-43m (216)
calculated volume: 101 Å³ per cell

abc: 5.228 5.228 5.228
angles: 60.00 60.00 60.00
Element x y z (fractional)
Eu 0.000 0.000 0.000
Gd 0.500 0.500 0.500
Hg 0.750 0.750 0.750
Pd 0.250 0.250 0.250

22.
Compound: PmEuGdHg
Source: the Alexandria database
Functional: PBE-GGA
Structure: relaxed

Results
DOS(E_F): 5.76 states/eV per cell
energy relative to the elements: -45 meV/atom
space-group type: F-43m (216)
calculated volume: 119 Å³ per cell

abc: 5.517 5.517 5.517
angles: 60.00 60.00 60.00
Element x y z (fractional)
Pm 0.000 0.000 0.000
Eu 0.750 0.750 0.750
Gd 0.250 0.250 0.250
Hg 0.500 0.500 0.500

23.
Compound: PrEuGdHg
Source: the Alexandria database
Functional: PBE-GGA
Structure: relaxed

Results
DOS(E_F): 7.74 states/eV per cell
energy relative to the elements: -78 meV/atom
space-group type: F-43m (216)
calculated volume: 122 Å³ per cell

abc: 5.563 5.563 5.563
angles: 60.00 60.00 60.00
Element x y z (fractional)
Pr 0.000 0.000 0.000
Eu 0.250 0.250 0.250
Gd 0.500 0.500 0.500
Hg 0.750 0.750 0.750

24.
Compound: EuGdHgRh
Source: the Alexandria database
Functional: PBE-GGA
Structure: relaxed

Results
DOS(E_F): 9.22 states/eV per cell
energy relative to the elements: -473 meV/atom
space-group type: F-43m (216)
calculated volume: 97 Å³ per cell

abc: 5.161 5.161 5.161
angles: 60.00 60.00 60.00
Element x y z (fractional)
Eu 0.000 0.000 0.000
Gd 0.500 0.500 0.500
Hg 0.750 0.750 0.750
Rh 0.250 0.250 0.250

25.
Compound: EuGdHgRu
Source: the Alexandria database
Functional: PBE-GGA
Structure: relaxed

Results
DOS(E_F): 5.53 states/eV per cell
energy relative to the elements: -183 meV/atom
space-group type: F-43m (216)
calculated volume: 96 Å³ per cell

abc: 5.137 5.137 5.137
angles: 60.00 60.00 60.00
Element x y z (fractional)
Eu 0.000 0.000 0.000
Gd 0.500 0.500 0.500
Hg 0.250 0.250 0.250
Ru 0.750 0.750 0.750

26.
Compound: EuGdHgSb
Source: the Alexandria database
Functional: PBE-GGA
Structure: relaxed

Results
formation energy from raw total energies: -0.67 eV per atom
DOS(E_F): 6.17 states/eV per cell
space-group type: F-43m (216)
calculated volume: 114 Å³ per cell

abc: 5.438 5.438 5.438
angles: 60.00 60.00 60.00
Element x y z (fractional)
Eu 0.000 0.000 0.000
Gd 0.500 0.500 0.500
Hg 0.250 0.250 0.250
Sb 0.750 0.750 0.750

27.
Compound: SmEuGdHg
Source: the Alexandria database
Functional: PBE-GGA
Structure: relaxed

Results
DOS(E_F): 4.62 states/eV per cell
energy relative to the elements: -66 meV/atom
space-group type: F-43m (216)
calculated volume: 119 Å³ per cell

abc: 5.519 5.519 5.519
angles: 60.00 60.00 60.00
Element x y z (fractional)
Sm 0.000 0.000 0.000
Eu 0.750 0.750 0.750
Gd 0.500 0.500 0.500
Hg 0.250 0.250 0.250

28.
Compound: EuGdSnHg
Source: the Alexandria database
Functional: PBE-GGA
Structure: relaxed

Results
DOS(E_F): 4.50 states/eV per cell
energy relative to the elements: -612 meV/atom
space-group type: F-43m (216)
calculated volume: 113 Å³ per cell

abc: 5.431 5.431 5.431
angles: 60.00 60.00 60.00
Element x y z (fractional)
Eu 0.000 0.000 0.000
Gd 0.500 0.500 0.500
Sn 0.750 0.750 0.750
Hg 0.250 0.250 0.250

29.
Compound: TbEuGdHg
Source: the Alexandria database
Functional: PBE-GGA
Structure: relaxed

Results
DOS(E_F): 7.10 states/eV per cell
energy relative to the elements: -60 meV/atom
space-group type: F-43m (216)
calculated volume: 115 Å³ per cell

abc: 5.466 5.466 5.466
angles: 60.00 60.00 60.00
Element x y z (fractional)
Tb 0.000 0.000 0.000
Eu 0.250 0.250 0.250
Gd 0.500 0.500 0.500
Hg 0.750 0.750 0.750

30.
Compound: EuGdTlHg
Source: the Alexandria database
Functional: PBE-GGA
Structure: relaxed

Results
DOS(E_F): 10.75 states/eV per cell
energy relative to the elements: -450 meV/atom
space-group type: F-43m (216)
calculated volume: 115 Å³ per cell

abc: 5.462 5.462 5.462
angles: 60.00 60.00 60.00
Element x y z (fractional)
Eu 0.000 0.000 0.000
Gd 0.500 0.500 0.500
Tl 0.250 0.250 0.250
Hg 0.750 0.750 0.750